# 1
Here is CuAgW2 after structural relaxation from the Alexandria database. Energies are from GGA-PBE.

a b c (Å): 3.3079 3.3079 5.7394
angles (deg): 90.00 90.00 90.00
Positions (direct):
Cu (0.0000, 0.0000, 0.0000)
Ag (0.0000, 0.0000, 0.5000)
W (0.5000, 0.5000, 0.2124)
W (0.5000, 0.5000, 0.7876)

Summary:
M_tot = 0.000 μB/atom
ΔH_f (0 K) = 0.756 eV per atom
Crystal system = tetragonal
SG = P4/mmm (123)
Uncorrected energy = -29.8 eV per cell
Energy above the most stable polymorph in this dataset = 454 meV/atom
Mass density = 14.25 g/cm3

---

# 2
Here is CuAg2W after structural relaxation from the Alexandria database. Energies are from GGA-PBE.

a b c (Å): 4.8424 4.8424 4.8424
angles (deg): 130.89 130.89 71.98
Positions (direct):
Cu (0.0000, 0.0000, 0.0000)
Ag (0.2500, 0.7500, 0.5000)
Ag (0.7500, 0.2500, 0.5000)
W (0.5000, 0.5000, 0.0000)

Summary:
M_tot = 0.000 μB/atom
ΔH_f (0 K) = 0.810 eV per atom
Crystal system = tetragonal
SG = I4/mmm (139)
Uncorrected energy = -19.5 eV per cell
Energy above the most stable polymorph in this dataset = 473 meV/atom
Mass density = 12.12 g/cm3

---

# 3
Here is CuAgW2 after structural relaxation from the Alexandria database. Energies are from GGA-PBE.

a b c (Å): 4.8036 4.8036 4.8036
angles (deg): 130.82 130.82 72.10
Positions (direct):
Cu (0.0000, 0.0000, 0.0000)
Ag (0.7500, 0.2500, 0.5000)
W (0.2500, 0.7500, 0.5000)
W (0.5000, 0.5000, 0.0000)

Summary:
M_tot = 0.000 μB/atom
ΔH_f (0 K) = 0.623 eV per atom
Crystal system = tetragonal
SG = I-4m2 (119)
Uncorrected energy = -30.4 eV per cell
Energy above the most stable polymorph in this dataset = 321 meV/atom
Mass density = 14.42 g/cm3

---

# 4
Here is CuAg2W after structural relaxation from the Alexandria database. Energies are from GGA-PBE.

a b c (Å): 4.4892 4.4892 4.4892
angles (deg): 60.00 60.00 60.00
Positions (direct):
Cu (0.0000, 0.0000, 0.0000)
Ag (0.2500, 0.2500, 0.2500)
Ag (0.7500, 0.7500, 0.7500)
W (0.5000, 0.5000, 0.5000)

Summary:
M_tot = 0.000 μB/atom
ΔH_f (0 K) = 0.856 eV per atom
Crystal system = cubic
SG = Fm-3m (225)
Uncorrected energy = -19.3 eV per cell
Energy above the most stable polymorph in this dataset = 518 meV/atom
Mass density = 12.02 g/cm3

---

# 5
Here is CuAgW2 after structural relaxation from the Alexandria database. Energies are from GGA-PBE.

a b c (Å): 5.1125 5.1125 2.6697
angles (deg): 90.00 90.00 117.51
Positions (direct):
Cu (0.0000, 0.0000, 0.0000)
Ag (0.5000, 0.5000, 0.0000)
W (0.0000, 0.5000, 0.5000)
W (0.5000, 0.0000, 0.5000)

Summary:
M_tot = 0.000 μB/atom
ΔH_f (0 K) = 0.587 eV per atom
Crystal system = orthorhombic
SG = Cmmm (65)
Uncorrected energy = -30.5 eV per cell
Energy above the most stable polymorph in this dataset = 285 meV/atom
Mass density = 14.46 g/cm3

---

# 6
Here is CuAg2W after structural relaxation from the Alexandria database. Energies are from GGA-PBE.

a b c (Å): 4.4747 4.4747 4.4747
angles (deg): 60.00 60.00 60.00
Positions (direct):
Cu (0.0000, 0.0000, 0.0000)
Ag (0.2500, 0.2500, 0.2500)
Ag (0.5000, 0.5000, 0.5000)
W (0.7500, 0.7500, 0.7500)

Summary:
M_tot = 0.000 μB/atom
ΔH_f (0 K) = 0.784 eV per atom
Crystal system = cubic
SG = F-43m (216)
Uncorrected energy = -19.6 eV per cell
Energy above the most stable polymorph in this dataset = 447 meV/atom
Mass density = 12.14 g/cm3

---

Look up the mass density of the second one. 12.12 g/cm3